## LaMn2Zn (PBE-GGA)

Data for LaMn2Zn after structural relaxation.

Calculated formation energy   0.236 eV/atom
M_tot   0.39 μB per cell

Unit cell a=3.9234 b=3.0310 c=13.2906 alpha=90.00 beta=90.00 gamma=90.00
Closest atoms and distances in Å follow each position.
Element x y z (fractional)
La  0.0000  0.0000  0.0000  1 Mn 2.99, 2 La 3.03, 4 Zn 3.15
La  0.0000  0.5000  0.5000  1 Mn 2.99, 2 La 3.03, 4 Zn 3.15
Mn  0.0000  0.0000  0.2251  4 Mn 2.53, 2 Zn 2.60
Mn  0.0000  0.5000  0.7251  4 Mn 2.53, 2 Zn 2.60
Mn  0.5000  0.0000  0.6863  4 Mn 2.53, 2 Zn 2.69
Mn  0.5000  0.5000  0.1863  4 Mn 2.53, 2 Zn 2.69
Zn  0.5000  0.0000  0.3533  4 Mn 2.60-2.69
Zn  0.5000  0.5000  0.8533  4 Mn 2.60-2.69

---

## LaMn2Zn (PBE-GGA)

Data for LaMn2Zn after structural relaxation.

Calculated formation energy   0.025 eV/atom
M_tot   0.65 μB per cell

Unit cell a=4.1995 b=4.1995 c=16.0101 alpha=90.00 beta=90.00 gamma=120.00
Closest atoms and distances in Å follow each position.
Element x y z (fractional)
La  0.0000  0.0000  0.0000  7 Mn 3.13-3.40, 4 Zn 3.15-3.27
La  0.3333  0.6667  0.6667  7 Mn 3.13-3.40, 4 Zn 3.15-3.27
La  0.6667  0.3333  0.3333  7 Mn 3.13-3.40, 4 Zn 3.15-3.27
Mn  0.0000  0.0000  0.1957  3 Mn 2.43, 3 Zn 2.60
Mn  0.0000  0.0000  0.5176  3 Mn 2.43, 3 Zn 2.54
Mn  0.3333  0.6667  0.1842  3 Mn 2.43, 3 Zn 2.54
Mn  0.3333  0.6667  0.8623  3 Mn 2.43, 3 Zn 2.60
Mn  0.6667  0.3333  0.5290  3 Mn 2.43, 3 Zn 2.60
Mn  0.6667  0.3333  0.8509  3 Mn 2.43, 3 Zn 2.54
Zn  0.0000  0.0000  0.8033  6 Mn 2.54-2.60
Zn  0.3333  0.6667  0.4700  6 Mn 2.54-2.60
Zn  0.6667  0.3333  0.1366  6 Mn 2.54-2.60

---

## LaMn2Zn (PBE-GGA)

Data for LaMn2Zn after structural relaxation.

Calculated formation energy   0.355 eV/atom
M_tot   4.90 μB per cell

Unit cell a=4.3177 b=4.3177 c=3.8797 alpha=90.00 beta=90.00 gamma=90.00
Closest atoms and distances in Å follow each position.
Element x y z (fractional)
La  0.0000  0.0000  0.0000  8 Mn 2.90, 4 Zn 3.05
Mn  0.0000  0.5000  0.5000  4 Zn 2.90, 4 La 2.90, 4 Mn 3.05
Mn  0.5000  0.0000  0.5000  4 Zn 2.90, 4 La 2.90, 4 Mn 3.05
Zn  0.5000  0.5000  0.0000  8 Mn 2.90, 4 La 3.05

---

## LaMn2Zn (PBE-GGA)

Data for LaMn2Zn after structural relaxation.

Calculated formation energy   0.300 eV/atom
M_tot   13.04 μB per cell

Unit cell a=4.3351 b=4.3351 c=8.3005 alpha=90.00 beta=90.00 gamma=90.00
Closest atoms and distances in Å follow each position.
Element x y z (fractional)
La  0.0000  0.0000  0.0000  8 Mn 3.00-3.07, 4 Zn 3.00
La  0.5000  0.5000  0.5000  8 Mn 3.00-3.07, 4 Zn 3.00
Mn  0.0000  0.0000  0.5000  4 Mn 3.00, 4 Zn 3.00, 4 La 3.07
Mn  0.0000  0.5000  0.7500  4 Mn 3.00, 4 La 3.00, 4 Zn 3.07
Mn  0.5000  0.0000  0.2500  4 La 3.00, 4 Mn 3.00, 4 Zn 3.07
Mn  0.5000  0.5000  0.0000  4 Mn 3.00, 4 Zn 3.00, 4 La 3.07
Zn  0.0000  0.5000  0.2500  4 La 3.00, 8 Mn 3.00-3.07
Zn  0.5000  0.0000  0.7500  8 Mn 3.00-3.07, 4 La 3.00

---

## LaMn2Zn2 (PBE-GGA)

Data for LaMn2Zn2 after structural relaxation.

Calculated formation energy   0.079 eV/atom
M_tot   11.73 μB per cell
Energy above the most stable polymorph in this dataset   0 meV/atom

Unit cell a=4.1197 b=4.1197 c=11.3278 alpha=90.00 beta=90.00 gamma=90.00
Closest atoms and distances in Å follow each position.
Element x y z (fractional)
La  0.0000  0.0000  0.0000  8 Mn 3.18, 8 Zn 3.50
La  0.5000  0.5000  0.5000  8 Mn 3.18, 8 Zn 3.50
Mn  0.0000  0.0000  0.3873  1 Mn 2.55, 4 Zn 2.58
Mn  0.0000  0.0000  0.6127  1 Mn 2.55, 4 Zn 2.58
Mn  0.5000  0.5000  0.1127  1 Mn 2.55, 4 Zn 2.58
Mn  0.5000  0.5000  0.8873  1 Mn 2.55, 4 Zn 2.58
Zn  0.0000  0.5000  0.2500  4 Mn 2.58
Zn  0.0000  0.5000  0.7500  4 Mn 2.58
Zn  0.5000  0.0000  0.2500  4 Mn 2.58
Zn  0.5000  0.0000  0.7500  4 Mn 2.58

---

## LaMnZn11 (PBE-GGA)

Data for LaMnZn11 after structural relaxation.

Calculated formation energy   -0.155 eV/atom
M_tot   3.27 μB per cell

Unit cell a=6.8754 b=6.8754 c=6.9104 alpha=98.16 beta=98.16 gamma=135.26
Closest atoms and distances in Å follow each position.
Element x y z (fractional)
La  0.0000  0.0000  0.0000  18 Zn 3.20-3.46, 2 Mn 3.47
Mn  0.5000  0.5000  0.5000  10 Zn 2.60-2.70
Zn  0.0000  0.0000  0.5000  2 Mn 2.62, 8 Zn 2.63-2.78
Zn  0.0000  0.5000  0.0000  10 Zn 2.62-2.85
Zn  0.0194  0.3700  0.3578  7 Zn 2.64-2.85, 1 Mn 2.70
Zn  0.2774  0.5020  0.7741  1 Mn 2.60, 8 Zn 2.62-2.90
Zn  0.3700  0.0194  0.3578  7 Zn 2.64-2.85, 1 Mn 2.70
Zn  0.4980  0.7226  0.2259  1 Mn 2.60, 8 Zn 2.62-2.90
Zn  0.5000  0.0000  0.0000  10 Zn 2.62-2.85
Zn  0.5020  0.2774  0.7741  1 Mn 2.60, 8 Zn 2.62-2.90
Zn  0.6300  0.9806  0.6422  7 Zn 2.64-2.85, 1 Mn 2.70
Zn  0.7226  0.4980  0.2259  1 Mn 2.60, 8 Zn 2.62-2.90
Zn  0.9806  0.6300  0.6422  7 Zn 2.64-2.85, 1 Mn 2.70

---

## LaMnZn (PBE-GGA)

Data for LaMnZn after structural relaxation.

Calculated formation energy   0.686 eV/atom
M_tot   15.69 μB per cell

Unit cell a=6.9630 b=6.9630 c=6.9630 alpha=90.00 beta=90.00 gamma=90.00
Closest atoms and distances in Å follow each position.
Element x y z (fractional)
La  0.0000  0.0000  0.0000  4 Mn 3.02, 4 Zn 3.02
La  0.0000  0.5000  0.5000  4 Mn 3.02, 4 Zn 3.02
La  0.5000  0.0000  0.5000  4 Mn 3.02, 4 Zn 3.02
La  0.5000  0.5000  0.0000  4 Mn 3.02, 4 Zn 3.02
Mn  0.2500  0.2500  0.2500  4 La 3.02
Mn  0.2500  0.7500  0.7500  4 La 3.02
Mn  0.7500  0.2500  0.7500  4 La 3.02
Mn  0.7500  0.7500  0.2500  4 La 3.02
Zn  0.2500  0.2500  0.7500  4 La 3.02
Zn  0.2500  0.7500  0.2500  4 La 3.02
Zn  0.7500  0.2500  0.2500  4 La 3.02
Zn  0.7500  0.7500  0.7500  4 La 3.02

---

## LaMn2Zn (PBE-GGA)

Data for LaMn2Zn after structural relaxation.

Calculated formation energy   0.340 eV/atom
M_tot   13.67 μB per cell

Unit cell a=3.2905 b=5.1249 c=9.4123 alpha=90.00 beta=90.00 gamma=90.00
Closest atoms and distances in Å follow each position.
Element x y z (fractional)
La  0.0000  0.0000  0.0000  4 Zn 3.05, 8 Mn 3.09-3.31, 2 La 3.29
La  0.5000  0.5000  0.5000  4 Zn 3.05, 8 Mn 3.09-3.31, 2 La 3.29
Mn  0.0000  0.5000  0.2221  2 Zn 2.66
Mn  0.0000  0.5000  0.7779  2 Zn 2.66
Mn  0.5000  0.0000  0.2779  2 Zn 2.66
Mn  0.5000  0.0000  0.7221  2 Zn 2.66
Zn  0.0000  0.0000  0.5000  4 Mn 2.66
Zn  0.5000  0.5000  0.0000  4 Mn 2.66

---

## LaMnZn (PBE-GGA)

Data for LaMnZn after structural relaxation.

Calculated formation energy   0.080 eV/atom
M_tot   5.97 μB per cell

Unit cell a=3.4166 b=3.4166 c=11.1574 alpha=90.00 beta=90.00 gamma=90.00
Closest atoms and distances in Å follow each position.
Element x y z (fractional)
La  0.0000  0.0000  0.0000  5 Mn 3.24-3.41, 5 Zn 3.27-3.34, 4 La 3.42
La  0.5000  0.5000  0.5000  5 Mn 3.24-3.41, 5 Zn 3.27-3.34, 4 La 3.42
Mn  0.0000  0.0000  0.3060  4 Zn 2.66
Mn  0.5000  0.5000  0.8060  4 Zn 2.66
Zn  0.0000  0.0000  0.7073  4 Mn 2.66
Zn  0.5000  0.5000  0.2073  4 Mn 2.66

---

## La3MnZn (PBE-GGA)

Data for La3MnZn after structural relaxation.

Calculated formation energy   0.095 eV/atom
M_tot   0.00 μB per cell

Unit cell a=5.2376 b=5.2376 c=5.2376 alpha=90.00 beta=90.00 gamma=90.00
Closest atoms and distances in Å follow each position.
Element x y z (fractional)
La  0.0000  0.0000  0.5000  2 Mn 2.62
La  0.0000  0.5000  0.0000  2 Mn 2.62
La  0.5000  0.0000  0.0000  2 Mn 2.62
Mn  0.0000  0.0000  0.0000  6 La 2.62
Zn  0.5000  0.5000  0.5000  12 La 3.70

---

## LaMn2Zn2 (PBE-GGA)

Data for LaMn2Zn2 after structural relaxation.

Calculated formation energy   0.300 eV/atom
M_tot   0.04 μB per cell
Energy above the most stable polymorph in this dataset   222 meV/atom

Unit cell a=7.5926 b=7.5926 c=2.8959 alpha=90.00 beta=90.00 gamma=90.00
Closest atoms and distances in Å follow each position.
Element x y z (fractional)
La  0.0000  0.0000  0.0000  2 La 2.90, 8 Zn 3.14, 4 Mn 3.16
La  0.5000  0.5000  0.0000  2 La 2.90, 8 Zn 3.14, 4 Mn 3.16
Mn  0.0944  0.4056  0.0000  1 Mn 2.03
Mn  0.4056  0.9056  0.0000  1 Mn 2.03
Mn  0.5944  0.0944  0.0000  1 Mn 2.03
Mn  0.9056  0.5944  0.0000  1 Mn 2.03
Zn  0.1818  0.6818  0.5000  6 Mn 2.63-2.81, 2 Zn 2.90
Zn  0.3182  0.1818  0.5000  6 Mn 2.63-2.81, 2 Zn 2.90
Zn  0.6818  0.8182  0.5000  6 Mn 2.63-2.81, 2 Zn 2.90
Zn  0.8182  0.3182  0.5000  6 Mn 2.63-2.81, 2 Zn 2.90

---

## La2Mn2Zn15 (PBE-GGA)

Data for La2Mn2Zn15 after structural relaxation.

Calculated formation energy   -0.189 eV/atom
M_tot   7.15 μB per cell

Unit cell a=6.8977 b=6.8977 c=6.8977 alpha=82.54 beta=82.54 gamma=82.54
Closest atoms and distances in Å follow each position.
Element x y z (fractional)
La  0.1621  0.1621  0.1621  1 Mn 3.20, 18 Zn 3.27-3.53
La  0.8379  0.8379  0.8379  1 Mn 3.20, 18 Zn 3.27-3.53
Mn  0.4008  0.4008  0.4008  1 Mn 2.66, 12 Zn 2.78-2.89
Mn  0.5992  0.5992  0.5992  1 Mn 2.66, 12 Zn 2.78-2.89
Zn  0.0000  0.5000  0.5000  8 Zn 2.61-2.64, 2 Mn 2.78
Zn  0.1503  0.1503  0.6530  8 Zn 2.64-2.84, 1 Mn 2.87
Zn  0.1503  0.6530  0.1503  8 Zn 2.64-2.84, 1 Mn 2.87
Zn  0.2184  0.5000  0.7816  8 Zn 2.56-2.84
Zn  0.2184  0.7816  0.5000  8 Zn 2.56-2.84
Zn  0.3470  0.8497  0.8497  8 Zn 2.64-2.84, 1 Mn 2.87
Zn  0.5000  0.0000  0.5000  8 Zn 2.61-2.64, 2 Mn 2.78
Zn  0.5000  0.2184  0.7816  8 Zn 2.56-2.84
Zn  0.5000  0.5000  0.0000  8 Zn 2.61-2.64, 2 Mn 2.78
Zn  0.5000  0.7816  0.2184  8 Zn 2.56-2.84
Zn  0.6530  0.1503  0.1503  8 Zn 2.64-2.84, 1 Mn 2.87
Zn  0.7816  0.2184  0.5000  8 Zn 2.56-2.84
Zn  0.7816  0.5000  0.2184  8 Zn 2.56-2.84
Zn  0.8497  0.3470  0.8497  8 Zn 2.64-2.84, 1 Mn 2.87
Zn  0.8497  0.8497  0.3470  8 Zn 2.64-2.84, 1 Mn 2.87

---

## LaMn2Zn (PBE-GGA)

Data for LaMn2Zn after structural relaxation.

Calculated formation energy   0.253 eV/atom
M_tot   6.61 μB per cell

Unit cell a=3.2591 b=3.2591 c=7.1457 alpha=90.00 beta=90.00 gamma=90.00
Closest atoms and distances in Å follow each position.
Element x y z (fractional)
La  0.0000  0.0000  0.0000  8 Mn 3.20, 4 La 3.26, 2 Zn 3.57
Mn  0.5000  0.5000  0.3097  4 Zn 2.68, 1 Mn 2.72
Mn  0.5000  0.5000  0.6903  4 Zn 2.68, 1 Mn 2.72
Zn  0.0000  0.0000  0.5000  8 Mn 2.68

---

## LaMn2Zn2 (PBE-GGA)

Data for LaMn2Zn2 after structural relaxation.

Calculated formation energy   0.491 eV/atom
M_tot   0.00 μB per cell
Energy above the most stable polymorph in this dataset   412 meV/atom

Unit cell a=7.6904 b=7.6904 c=2.7276 alpha=90.00 beta=90.00 gamma=90.00
Closest atoms and distances in Å follow each position.
Element x y z (fractional)
La  0.0000  0.0000  0.0000  2 La 2.73
La  0.5000  0.5000  0.0000  2 La 2.73
Mn  0.1699  0.3301  0.5000  6 Zn 2.64-2.65, 2 Mn 2.73
Mn  0.3301  0.8301  0.5000  6 Zn 2.64-2.65, 2 Mn 2.73
Mn  0.6699  0.1699  0.5000  6 Zn 2.64-2.65, 2 Mn 2.73
Mn  0.8301  0.6699  0.5000  6 Zn 2.64-2.65, 2 Mn 2.73
Zn  0.1219  0.6219  0.0000  6 Mn 2.64-2.65, 3 Zn 2.65-2.73
Zn  0.3781  0.1219  0.0000  6 Mn 2.64-2.65, 3 Zn 2.65-2.73
Zn  0.6219  0.8781  0.0000  6 Mn 2.64-2.65, 3 Zn 2.65-2.73
Zn  0.8781  0.3781  0.0000  6 Mn 2.64-2.65, 3 Zn 2.65-2.73

---

## La2ZrMn (PBE-GGA)

Data for La2ZrMn after structural relaxation.

Calculated formation energy   0.370 eV/atom
M_tot   5.22 μB per cell
Energy above the most stable polymorph in this dataset   213 meV/atom

Unit cell a=7.4636 b=7.4636 c=7.4636 alpha=90.00 beta=90.00 gamma=90.00
Closest atoms and distances in Å follow each position.
Element x y z (fractional)
La  0.0000  0.0000  0.0000  4 Zr 3.23, 4 La 3.23
La  0.0000  0.5000  0.5000  4 Zr 3.23, 4 La 3.23
La  0.2500  0.2500  0.2500  4 Mn 3.23, 4 La 3.23
La  0.2500  0.7500  0.7500  4 Mn 3.23, 4 La 3.23
La  0.5000  0.0000  0.5000  4 Zr 3.23, 4 La 3.23
La  0.5000  0.5000  0.0000  4 Zr 3.23, 4 La 3.23
La  0.7500  0.2500  0.7500  4 Mn 3.23, 4 La 3.23
La  0.7500  0.7500  0.2500  4 Mn 3.23, 4 La 3.23
Zr  0.2500  0.2500  0.7500  4 Mn 3.23, 4 La 3.23
Zr  0.2500  0.7500  0.2500  4 Mn 3.23, 4 La 3.23
Zr  0.7500  0.2500  0.2500  4 Mn 3.23, 4 La 3.23
Zr  0.7500  0.7500  0.7500  4 Mn 3.23, 4 La 3.23
Mn  0.0000  0.0000  0.5000  4 Zr 3.23, 4 La 3.23
Mn  0.0000  0.5000  0.0000  4 Zr 3.23, 4 La 3.23
Mn  0.5000  0.0000  0.0000  4 Zr 3.23, 4 La 3.23
Mn  0.5000  0.5000  0.5000  4 Zr 3.23, 4 La 3.23

---

## LaZrMn3 (PBE-GGA)

Data for LaZrMn3 after structural relaxation.

Calculated formation energy   0.774 eV/atom
M_tot   9.09 μB per cell
Energy above the most stable polymorph in this dataset   0 meV/atom

Unit cell a=4.9255 b=4.9255 c=4.9255 alpha=90.00 beta=90.00 gamma=90.00
Closest atoms and distances in Å follow each position.
Element x y z (fractional)
La  0.0000  0.0000  0.0000  12 Mn 3.48
Zr  0.5000  0.5000  0.5000  6 Mn 2.46
Mn  0.0000  0.5000  0.5000  2 Zr 2.46
Mn  0.5000  0.0000  0.5000  2 Zr 2.46
Mn  0.5000  0.5000  0.0000  2 Zr 2.46

---

## LaZrMn (PBE-GGA)

Data for LaZrMn after structural relaxation.

Calculated formation energy   1.103 eV/atom
M_tot   9.12 μB per cell
Energy above the most stable polymorph in this dataset   868 meV/atom

Unit cell a=6.7307 b=6.7307 c=6.7307 alpha=90.00 beta=90.00 gamma=90.00
Closest atoms and distances in Å follow each position.
Element x y z (fractional)
La  0.0000  0.0000  0.0000  4 Zr 2.91, 4 Mn 2.91
La  0.0000  0.5000  0.5000  4 Zr 2.91, 4 Mn 2.91
La  0.5000  0.0000  0.5000  4 Zr 2.91, 4 Mn 2.91
La  0.5000  0.5000  0.0000  4 Zr 2.91, 4 Mn 2.91
Zr  0.2500  0.2500  0.7500  4 La 2.91
Zr  0.2500  0.7500  0.2500  4 La 2.91
Zr  0.7500  0.2500  0.2500  4 La 2.91
Zr  0.7500  0.7500  0.7500  4 La 2.91
Mn  0.2500  0.2500  0.2500  4 La 2.91
Mn  0.2500  0.7500  0.7500  4 La 2.91
Mn  0.7500  0.2500  0.7500  4 La 2.91
Mn  0.7500  0.7500  0.2500  4 La 2.91

---

## LaZr2Mn (PBE-GGA)

Data for LaZr2Mn after structural relaxation.

Calculated formation energy   0.288 eV/atom
M_tot   0.04 μB per cell
Energy above the most stable polymorph in this dataset   199 meV/atom

Unit cell a=3.3511 b=3.3511 c=28.2990 alpha=90.00 beta=90.00 gamma=120.00
Closest atoms and distances in Å follow each position.
Element x y z (fractional)
La  0.0000  0.0000  0.0000  6 La 3.35, 6 Zr 3.54
La  0.3333  0.6667  0.6667  6 La 3.35, 6 Zr 3.54
La  0.6667  0.3333  0.3333  6 La 3.35, 6 Zr 3.54
Zr  0.0000  0.0000  0.2287  3 Mn 2.61
Zr  0.0000  0.0000  0.7713  3 Mn 2.61
Zr  0.3333  0.6667  0.4380  3 Mn 2.61
Zr  0.3333  0.6667  0.8954  3 Mn 2.61
Zr  0.6667  0.3333  0.1046  3 Mn 2.61
Zr  0.6667  0.3333  0.5620  3 Mn 2.61
Mn  0.0000  0.0000  0.5000  6 Zr 2.61
Mn  0.3333  0.6667  0.1667  6 Zr 2.61
Mn  0.6667  0.3333  0.8333  6 Zr 2.61

---

## La3ZrMn (PBE-GGA)

Data for La3ZrMn after structural relaxation.

Calculated formation energy   0.455 eV/atom
M_tot   0.26 μB per cell

Unit cell a=5.2984 b=5.2984 c=5.2984 alpha=90.00 beta=90.00 gamma=90.00
Closest atoms and distances in Å follow each position.
Element x y z (fractional)
La  0.0000  0.0000  0.5000  2 Mn 2.65
La  0.0000  0.5000  0.0000  2 Mn 2.65
La  0.5000  0.0000  0.0000  2 Mn 2.65
Zr  0.5000  0.5000  0.5000  12 La 3.75
Mn  0.0000  0.0000  0.0000  6 La 2.65

---

## LaZr2Mn (PBE-GGA)

Data for LaZr2Mn after structural relaxation.

Calculated formation energy   0.221 eV/atom
M_tot   2.05 μB per cell
Energy above the most stable polymorph in this dataset   132 meV/atom

Unit cell a=3.3041 b=5.3442 c=10.4366 alpha=90.00 beta=90.00 gamma=90.00
Closest atoms and distances in Å follow each position.
Element x y z (fractional)
La  0.0000  0.0000  0.0000  4 Mn 3.14, 2 La 3.30, 8 Zr 3.41-3.52
La  0.5000  0.5000  0.5000  4 Mn 3.14, 2 La 3.30, 8 Zr 3.41-3.52
Zr  0.0000  0.5000  0.2026  2 Mn 2.68
Zr  0.0000  0.5000  0.7974  2 Mn 2.68
Zr  0.5000  0.0000  0.2974  2 Mn 2.68
Zr  0.5000  0.0000  0.7026  2 Mn 2.68
Mn  0.0000  0.0000  0.5000  4 Zr 2.68
Mn  0.5000  0.5000  0.0000  4 Zr 2.68